(P)
This record from Alexandria via LeMat-Bulk describes a crystal of BeBSe2 relaxed with PBEsol. The functional is meta-GGA SCAN.

Summary:
- Space group: I-42d (122)

Unit cell a=4.975 b=4.975 c=6.128 alpha=113.95 beta=113.95 gamma=90.00
Fractional positions:
Be 0.750 0.250 0.500
Be 0.500 0.500 0.000
B 0.250 0.750 0.500
B 0.000 0.000 0.000
Se 0.891 0.375 0.250
Se 0.359 0.875 0.250
Se 0.625 0.641 0.750
Se 0.125 0.109 0.750



(Q)
This record from Alexandria via LeMat-Bulk describes a crystal of BeBSe2 relaxed with PBEsol. The functional is meta-GGA SCAN.

Summary:
- Space group: Fm-3m (225)

Unit cell a=4.283 b=4.283 c=4.283 alpha=60.00 beta=60.00 gamma=60.00
Fractional positions:
Be 0.000 0.000 0.000
B 0.500 0.500 0.500
Se 0.250 0.250 0.250
Se 0.750 0.750 0.750



Stability, lowest: (Q)



(P)
This record from Alexandria via LeMat-Bulk describes a crystal of BiBBr2 relaxed with PBEsol. The functional is meta-GGA SCAN.

Summary:
- Space group: R-3m (166)

Unit cell a=3.439 b=3.439 c=10.187 alpha=80.28 beta=80.28 gamma=60.00
Fractional positions:
B 0.000 0.000 0.000
Bi 0.500 0.500 0.500
Br 0.061 0.061 0.818
Br 0.939 0.939 0.182



(Q)
This record from Alexandria via LeMat-Bulk describes a crystal of BiBBr2 relaxed with PBEsol. The functional is meta-GGA SCAN.

Summary:
- Space group: Fd-3m (227)

Unit cell a=6.829 b=6.829 c=6.829 alpha=60.00 beta=60.00 gamma=60.00
Fractional positions:
B 0.500 0.500 0.500
B 0.750 0.750 0.750
Bi 0.000 0.000 0.000
Bi 0.250 0.250 0.250
Br 0.625 0.125 0.625
Br 0.125 0.625 0.625
Br 0.625 0.625 0.125
Br 0.625 0.625 0.625



Stability, lowest: (Q)



(P)
This record from Alexandria via LeMat-Bulk describes a crystal of BiBF2 relaxed with PBEsol. The functional is meta-GGA SCAN.

Summary:
- Space group: R-3m (166)

Unit cell a=3.376 b=3.376 c=7.244 alpha=76.52 beta=76.52 gamma=60.00
Fractional positions:
B 0.500 0.500 0.500
Bi 0.000 0.000 0.000
F 0.890 0.890 0.329
F 0.110 0.110 0.671



(Q)
This record from Alexandria via LeMat-Bulk describes a crystal of BiBF2 relaxed with PBEsol. The functional is meta-GGA SCAN.

Summary:
- Space group: Fm-3m (225)

Unit cell a=4.247 b=4.247 c=4.247 alpha=60.00 beta=60.00 gamma=60.00
Fractional positions:
B 0.000 0.000 0.000
Bi 0.500 0.500 0.500
F 0.250 0.250 0.250
F 0.750 0.750 0.750



Stability, lowest: (Q)



(P)
This record from Alexandria via LeMat-Bulk describes a crystal of Li3BiB2O6 relaxed with PBEsol. The functional is meta-GGA SCAN.

Summary:
- Space group: P2_1/c (14)

Unit cell a=5.127 b=8.917 c=10.527 alpha=90.00 beta=86.10 gamma=90.00
Fractional positions:
Li 0.194 0.029 0.707
Li 0.175 0.324 0.646
Li 0.187 0.997 0.077
Li 0.325 0.824 0.854
Li 0.313 0.497 0.423
Li 0.306 0.529 0.793
Li 0.694 0.471 0.207
Li 0.687 0.503 0.577
Li 0.675 0.176 0.146
Li 0.813 0.003 0.923
Li 0.825 0.676 0.354
Li 0.806 0.971 0.293
Bi 0.204 0.618 0.093
Bi 0.296 0.118 0.407
Bi 0.704 0.882 0.593
Bi 0.796 0.382 0.907
B 0.172 0.680 0.614
B 0.220 0.294 0.149
B 0.328 0.180 0.886
B 0.280 0.794 0.351
B 0.720 0.206 0.649
B 0.672 0.820 0.114
B 0.780 0.706 0.851
B 0.828 0.320 0.386
O 0.032 0.662 0.874
O 0.083 0.332 0.424
O 0.177 0.053 0.889
O 0.072 0.890 0.377
O 0.222 0.651 0.307
O 0.237 0.321 0.848
O 0.263 0.821 0.652
O 0.278 0.151 0.193
O 0.428 0.390 0.123
O 0.323 0.553 0.611
O 0.468 0.162 0.626
O 0.417 0.832 0.076
O 0.583 0.168 0.924
O 0.532 0.838 0.374
O 0.677 0.447 0.389
O 0.572 0.610 0.877
O 0.722 0.849 0.807
O 0.737 0.179 0.348
O 0.763 0.679 0.152
O 0.778 0.349 0.693
O 0.928 0.110 0.623
O 0.823 0.947 0.111
O 0.917 0.668 0.576
O 0.968 0.338 0.126



(Q)
This record from Alexandria via LeMat-Bulk describes a crystal of Li3BiB2O6 relaxed with PBEsol. The functional is meta-GGA SCAN.

Summary:
- Space group: P-1 (2)

Unit cell a=4.914 b=7.244 c=8.137 alpha=68.29 beta=85.21 gamma=86.10
Fractional positions:
Li 0.196 0.073 0.069
Li 0.292 0.950 0.731
Li 0.306 0.241 0.355
Li 0.694 0.759 0.645
Li 0.708 0.050 0.269
Li 0.804 0.927 0.931
Bi 0.217 0.437 0.679
Bi 0.783 0.563 0.321
B 0.187 0.863 0.436
B 0.320 0.692 0.088
B 0.680 0.308 0.912
B 0.813 0.137 0.564
O 0.076 0.188 0.578
O 0.207 0.532 0.233
O 0.173 0.845 0.981
O 0.305 0.761 0.600
O 0.324 0.002 0.301
O 0.392 0.312 0.931
O 0.608 0.688 0.069
O 0.676 0.998 0.699
O 0.695 0.239 0.400
O 0.827 0.155 0.019
O 0.793 0.468 0.767
O 0.924 0.812 0.422



Stability, lowest: (Q)



(P)
This record from Alexandria via LeMat-Bulk describes a crystal of BiB3O6 relaxed with PBEsol. The functional is meta-GGA SCAN.

Summary:
- Space group: P2_1/c (14)

Unit cell a=4.255 b=7.238 c=11.716 alpha=90.00 beta=90.00 gamma=91.20
Fractional positions:
Bi 0.830 0.628 0.385
Bi 0.170 0.872 0.885
Bi 0.830 0.128 0.115
Bi 0.170 0.372 0.615
B 0.196 0.370 0.907
B 0.679 0.207 0.838
B 0.689 0.568 0.876
B 0.679 0.707 0.662
B 0.196 0.870 0.593
B 0.311 0.932 0.376
B 0.321 0.293 0.338
B 0.311 0.432 0.124
B 0.804 0.630 0.093
B 0.804 0.130 0.407
B 0.689 0.068 0.624
B 0.321 0.793 0.162
O 0.661 0.773 0.161
O 0.647 0.456 0.116
O 0.764 0.560 0.581
O 0.764 0.060 0.919
O 0.211 0.320 0.221
O 0.353 0.044 0.616
O 0.647 0.956 0.384
O 0.661 0.273 0.339
O 0.236 0.440 0.419
O 0.806 0.181 0.528
O 0.339 0.227 0.839
O 0.849 0.884 0.626
O 0.353 0.544 0.884
O 0.194 0.819 0.472
O 0.194 0.319 0.028
O 0.236 0.940 0.081
O 0.789 0.180 0.721
O 0.151 0.616 0.126
O 0.806 0.681 0.972
O 0.211 0.820 0.279
O 0.339 0.727 0.661
O 0.789 0.680 0.779
O 0.849 0.384 0.874
O 0.151 0.116 0.374



(Q)
This record from Alexandria via LeMat-Bulk describes a crystal of BiB3O6 relaxed with PBEsol. The functional is meta-GGA SCAN.

Summary:
- Space group: P1 (1)

Unit cell a=4.365 b=4.368 c=6.557 alpha=78.27 beta=77.98 gamma=72.47
Fractional positions:
B 0.628 0.336 0.542
B 0.220 0.244 0.346
B 0.721 0.745 0.737
Bi 0.908 0.060 0.040
O 0.315 0.348 0.496
O 0.615 0.649 0.589
O 0.710 0.074 0.725
O 0.891 0.255 0.359
O 0.399 0.142 0.162
O 0.826 0.568 0.920



Stability, lowest: (Q)



(P)
This record from Alexandria via LeMat-Bulk describes a crystal of BBr2O relaxed with PBEsol. The functional is meta-GGA SCAN.

Summary:
- Space group: Fm-3m (225)

Unit cell a=4.329 b=4.329 c=4.329 alpha=60.00 beta=60.00 gamma=60.00
Last column: magnetic moment on the atom in μB.
Fractional positions:
B 0.000 0.000 0.000  -0.06
Br 0.250 0.250 0.250  0.24
Br 0.750 0.750 0.750  0.24
O 0.500 0.500 0.500  1.08



(Q)
This record from Alexandria via LeMat-Bulk describes a crystal of BBr2O relaxed with PBEsol. The functional is meta-GGA SCAN.

Summary:
- Space group: R-3m (166)

Unit cell a=3.361 b=3.361 c=7.104 alpha=76.32 beta=76.32 gamma=60.00
Fractional positions:
B 0.500 0.500 0.500
Br 0.903 0.903 0.291
Br 0.097 0.097 0.709
O 0.000 0.000 0.000



Stability, lowest: (P)